Density functional theory data (PBE) for LiCaHRh2 after structural relaxation.

The calculation puts the size of the total moment at 0.00 μB per formula unit. For the total energy, the calculation gives -4.644 eV/atom. The calculation puts the relative energy among the computed polymorphs at 0.00 eV per formula unit. The calculation puts the calculated volume at 13.55 Å³/atom. Its crystal system is tetragonal.

It has space group P4/mmm (No. 123), with a = 4.040 Å, b = 4.040 Å, c = 4.152 Å, α = 90.00°, β = 90.00° and γ = 90.00°. The inequivalent atoms are Li at (0.000, 0.000, 0.000), Ca at (0.500, 0.500, 0.000), H at (0.000, 0.000, 0.500) and Rh at (0.000, 0.500, 0.500).